Record 1
Compound: Tb6Sm3Ho2
Source: Alexandria
Functional: PBE
Structure: optimized geometry

Results
calculated formation energy = 0.278 eV/atom

abc: 4.7505 4.7505 33.2717
angles: 90.00 90.00 90.00
Last column: nearest neighbours and their distance in Å.
Space group I4/mmm (No. 139)
Asymmetric unit:
Tb  0.0000  0.0000  0.1952  5 Sm 3.37-3.44, 4 Tb 3.44
Tb  0.0000  0.5000  0.1203  6 Tb 3.36-3.44, 2 Ho 3.43, 2 Sm 3.59
Sm  0.0000  0.0000  0.2987  9 Tb 3.37-3.59
Sm  0.0000  0.0000  0.5000  8 Ho 3.69
Ho  0.0000  0.0000  0.0459  1 Ho 3.05

***

Record 2
Compound: Li2PtS
Source: Alexandria
Functional: PBE
Structure: optimized geometry

Results
ΔE_f (raw) = -0.564 eV per atom

abc: 7.2308 7.2308 4.7126
angles: 90.00 90.00 90.00
Last column: nearest neighbours and their distance in Å.
Space group I-42d (No. 122)
Asymmetric unit:
Li  0.1951  0.2500  0.1250  2 S 2.37, 2 Li 2.49
Pt  0.0000  0.0000  0.5000  2 S 2.36
S  0.0000  0.0000  0.0000  2 Pt 2.36, 4 Li 2.37

***

Record 3
Compound: Li6Pr3Pt5
Source: Alexandria
Functional: PBE
Structure: optimized geometry

Results
calculated formation energy = -0.692 eV/atom

abc: 4.1247 12.6888 10.0979
angles: 90.00 90.00 90.00
Last column: nearest neighbours and their distance in Å.
Space group Pmmn (No. 59, origin choice 2)
Asymmetric unit:
Li  0.2500  0.0640  0.0782  4 Pt 2.56-2.69, 1 Li 2.71
Li  0.2500  0.2500  0.5212  4 Pt 2.69-2.84, 4 Li 2.85
Li  0.2500  0.2500  0.9454  4 Pt 2.52, 2 Li 2.71
Li  0.2500  0.5953  0.4911  4 Pt 2.66-2.85, 2 Li 2.85
Pr  0.2500  0.0663  0.7518  6 Pt 3.04-3.14, 8 Li 3.04-3.34
Pr  0.2500  0.7500  0.7697  6 Pt 3.08, 2 Li 3.43
Pt  0.2500  0.0928  0.3423  5 Li 2.66-2.82
Pt  0.2500  0.6369  0.0400  5 Li 2.52-2.58
Pt  0.2500  0.7500  0.2859  6 Li 2.84-3.12, 2 Pt 2.87, 4 Pr 3.14

***

Record 4
Compound: LiI2F
Source: Alexandria
Functional: PBE
Structure: optimized geometry

Results
ΔE_f (raw) = -0.539 eV per atom

abc: 7.0674 7.0674 7.0674
angles: 90.00 90.00 90.00
Last column: nearest neighbours and their distance in Å.
Space group Fm-3m (No. 225)
Asymmetric unit:
Li  0.0000  0.0000  0.0000  8 I 3.06
I  0.2500  0.2500  0.2500  4 Li 3.06, 4 F 3.06
F  0.0000  0.0000  0.5000  8 I 3.06

***

| no. | electronic total energy (eV/cell) |
| --- | --- |
| 1 | -96.1 |
| 2 | -65.0 |
| 3 | -131.4 |
| 4 | -36.2 |